Entry 1:
Material: LaSc2ZnPt
Method: DFT, PBE
State: relaxed

Values from the calculation:
DFT formation energy: -0.017 eV per atom
Energy relative to the lowest polymorph listed for this composition: 302 meV per atom
V: 122.7 Å³/f.u.
Calculated density: 6.624 Mg/m³

a b c (Å): 5.065 4.781 5.065
angles (deg): 90.00 90.00 90.00
Fractional coordinates of all 5 atoms:
Sc (0.000, 0.000, 0.500)
Sc (0.500, 0.000, 0.000)
La (0.500, 0.500, 0.500)
Zn (0.000, 0.000, 0.000)
Pt (0.000, 0.500, 0.000)

=====

Entry 2:
Material: ZrIr2Se
Method: DFT, PBE
State: relaxed

Values from the calculation:
V: 67.2 Å³/f.u.
Calculated density: 13.701 Mg/m³
Energy: -30.6 eV/cell

a b c (Å): 4.038 4.038 4.122
angles (deg): 90.00 90.00 90.00
Fractional coordinates of all 4 atoms:
Zr (0.000, 0.500, 0.500)
Ir (0.000, 0.000, 0.000)
Ir (0.500, 0.500, 0.000)
Se (0.500, 0.000, 0.500)

=====

Entry 3:
Material: La3IrPb
Method: DFT, PBE
State: relaxed

Values from the calculation:
DFT formation energy: -0.592 eV per atom
Energy relative to the lowest polymorph listed for this composition: 95 meV per atom
V: 166.0 Å³/f.u.
Calculated density: 8.166 Mg/m³

a b c (Å): 4.343 8.970 8.970
angles (deg): 71.76 90.00 90.00
Fractional coordinates of all 10 atoms:
La (0.864, 0.373, 0.826)
La (0.363, 0.375, 0.428)
La (0.864, 0.015, 0.667)
La (0.363, 0.013, 0.065)
La (0.863, 0.774, 0.426)
La (0.863, 0.614, 0.067)
Pb (0.863, 0.194, 0.246)
Pb (0.363, 0.694, 0.746)
Ir (0.364, 0.194, 0.746)
Ir (0.363, 0.694, 0.246)

=====

Entry 4:
Material: Zr5BiTe
Method: DFT, PBE
State: relaxed

Values from the calculation:
V: 181.8 Å³/f.u.
Calculated density: 7.241 Mg/m³
Energy: -102.0 eV/cell

a b c (Å): 7.366 7.366 7.892
angles (deg): 87.36 87.36 121.48
Fractional coordinates of all 14 atoms:
Zr (0.025, 0.653, 0.142)
Zr (0.653, 0.025, 0.642)
Zr (0.807, 0.193, 0.250)
Zr (0.975, 0.347, 0.858)
Zr (0.797, 0.500, 0.555)
Zr (0.203, 0.500, 0.445)
Zr (0.193, 0.807, 0.750)
Zr (0.500, 0.797, 0.055)
Zr (0.500, 0.203, 0.945)
Zr (0.347, 0.975, 0.358)
Te (0.000, 0.000, 0.500)
Te (0.000, 0.000, 0.000)
Bi (0.452, 0.548, 0.750)
Bi (0.548, 0.452, 0.250)

=====

no.,magnetization (μB/atom)
1,0.257
2,0.000
3,0.000
4,0.000